(1)
A plane-wave DFT calculation with PBE with a Hubbard U was carried out for a relaxed TmCo3Pt4O12 crystal.

E	-241.04	eV/cell

abc: 7.5300 7.5300 7.5300
angles: 90.00 90.00 90.00
With the nearest neighbours (Å) after each atom.
Space group Im-3 (No. 204)
Unique sites:
Tm (0.0000, 0.0000, 0.0000) x2  12 O 2.57
Co (0.0000, 0.0000, 0.5000) x6  4 O 1.92
Pt (0.2500, 0.2500, 0.2500) x8  6 O 2.04
O (0.0000, 0.1599, 0.3015) x24  1 Co 1.92, 2 Pt 2.04

---

(2)
A plane-wave DFT calculation with PBE with a Hubbard U was carried out for a relaxed Rb2CoO2 crystal.

E	-45.36	eV/cell

abc: 4.1163 4.1163 13.2848
angles: 90.00 90.00 90.00
With the nearest neighbours (Å) after each atom.
Space group I4/mmm (No. 139)
Unique sites:
Rb (0.0000, 0.0000, 0.1551) x4  5 O 2.86-2.93
Co (0.0000, 0.0000, 0.5000) x2  2 O 1.72
O (0.0000, 0.0000, 0.3703) x4  1 Co 1.72